A plane-wave DFT calculation with PBE+U was carried out for Rb3Tb3CoO8 after structural relaxation.

Calculated values
crystal system = trigonal
E = -6.321 eV per atom
calculated volume = 17.6 Å³ per atom

Unit cell a=7.6758 b=7.6758 c=7.6758 alpha=52.62 beta=52.62 gamma=52.62
Fractional positions:
Rb (0.0000, 0.5000, 0.5000)
Rb (0.5000, 0.0000, 0.5000)
Rb (0.5000, 0.5000, 0.0000)
Tb (0.0000, 0.0000, 0.5000)
Tb (0.0000, 0.5000, 0.0000)
Tb (0.5000, 0.0000, 0.0000)
Co (0.5000, 0.5000, 0.5000)
O (0.2246, 0.2246, 0.2246)
O (0.2524, 0.7058, 0.7058)
O (0.2942, 0.2942, 0.7476)
O (0.2942, 0.7476, 0.2942)
O (0.7058, 0.2524, 0.7058)
O (0.7058, 0.7058, 0.2524)
O (0.7476, 0.2942, 0.2942)
O (0.7754, 0.7754, 0.7754)